Record 1
A plane-wave DFT calculation with PBE-GGA was carried out for a geometry-optimized LaTlPd structure.

Lattice parameters (Å, degrees): 8.5432 8.5432 3.5550 90.00 90.00 120.00
Space group P-62m (No. 189)
Symmetry-distinct sites (fractional):
La: 0.0000 0.2987 0.0000 (multiplicity 3)
Tl: 0.0000 0.0000 0.5000 (multiplicity 1)
Tl: 0.3333 0.6667 0.0000 (multiplicity 2)
Pd: 0.0000 0.6425 0.5000 (multiplicity 3)

Properties
E_tot ... -39.68 eV per cell



Record 2
A plane-wave DFT calculation with PBE-GGA was carried out for a geometry-optimized LaTlPd structure.

Lattice parameters (Å, degrees): 7.5050 7.5050 4.6554 90.00 90.00 120.00
Space group P-62m (No. 189)
Symmetry-distinct sites (fractional):
La: 0.0000 0.5683 0.0000 (multiplicity 3)
Tl: 0.0000 0.0000 0.0000 (multiplicity 1)
Tl: 0.3333 0.6667 0.5000 (multiplicity 2)
Pd: 0.0000 0.2361 0.5000 (multiplicity 3)

Properties
E_tot ... -41.60 eV per cell



Record 3
A plane-wave DFT calculation with PBE-GGA was carried out for a geometry-optimized LaTlPd structure.

Lattice parameters (Å, degrees): 7.8916 7.8916 4.1334 90.00 90.00 120.00
Space group P-62m (No. 189)
Symmetry-distinct sites (fractional):
La: 0.0000 0.5899 0.0000 (multiplicity 3)
Tl: 0.0000 0.2548 0.5000 (multiplicity 3)
Pd: 0.0000 0.0000 0.0000 (multiplicity 1)
Pd: 0.3333 0.6667 0.5000 (multiplicity 2)

Properties
E_tot ... -43.60 eV per cell



Record 4
A plane-wave DFT calculation with PBE-GGA was carried out for a geometry-optimized LaTlPd structure.

Lattice parameters (Å, degrees): 6.995 6.995 6.995 90.00 90.00 90.00
Space group F-43m (No. 216)
Symmetry-distinct sites (fractional):
La: 0.000 0.000 0.000 (multiplicity 4)
Tl: 0.250 0.250 0.250 (multiplicity 4)
Pd: 0.000 0.000 0.500 (multiplicity 4)

Properties
E_tot ... -51.83 eV per cell



Record 5
A plane-wave DFT calculation with PBE-GGA was carried out for a geometry-optimized LaTlPd structure.

Lattice parameters (Å, degrees): 7.148 7.148 7.148 90.00 90.00 90.00
Space group F-43m (No. 216)
Symmetry-distinct sites (fractional):
La: 0.000 0.000 0.000 (multiplicity 4)
Tl: 0.250 0.250 0.250 (multiplicity 4)
Pd: 0.250 0.250 0.750 (multiplicity 4)

Properties
E_tot ... -50.63 eV per cell



Record 6
A plane-wave DFT calculation with PBE-GGA was carried out for a geometry-optimized La2TlPd structure.

Lattice parameters (Å, degrees): 7.370 7.370 7.370 90.00 90.00 90.00
Space group F-43m (No. 216)
Symmetry-distinct sites (fractional):
La: 0.000 0.000 0.000 (multiplicity 4)
La: 0.250 0.250 0.250 (multiplicity 4)
Tl: 0.000 0.000 0.500 (multiplicity 4)
Pd: 0.250 0.250 0.750 (multiplicity 4)

Properties
E_tot ... -74.98 eV per cell



Record 7
A plane-wave DFT calculation with PBE-GGA was carried out for a geometry-optimized LaTmPd structure.

Lattice parameters (Å, degrees): 7.016 7.016 7.016 90.00 90.00 90.00
Space group F-43m (No. 216)
Symmetry-distinct sites (fractional):
La: 0.000 0.000 0.000 (multiplicity 4)
Tm: 0.000 0.000 0.500 (multiplicity 4)
Pd: 0.250 0.250 0.250 (multiplicity 4)

Properties
Energy above the most stable polymorph in this dataset ... 0.0 kJ per mole of atoms
Energy of formation from the pure elements ... -0.442 eV per atom
E_tot ... -63.59 eV per cell



Record 8
A plane-wave DFT calculation with PBE-GGA was carried out for a geometry-optimized LaUPd structure.

Lattice parameters (Å, degrees): 6.992 6.992 6.992 90.00 90.00 90.00
Space group F-43m (No. 216)
Symmetry-distinct sites (fractional):
La: 0.000 0.000 0.000 (multiplicity 4)
U: 0.000 0.000 0.500 (multiplicity 4)
Pd: 0.250 0.250 0.250 (multiplicity 4)

Properties
Energy above the most stable polymorph in this dataset ... 0.0 kJ per mole of atoms
Energy of formation from the pure elements ... 0.208 eV per atom
E_tot ... -83.08 eV per cell



Record 9
A plane-wave DFT calculation with PBE-GGA was carried out for a geometry-optimized LaY2Pd2 structure.

Lattice parameters (Å, degrees): 7.962 7.962 3.944 90.00 90.00 90.00
Space group P4/mbm (No. 127)
Symmetry-distinct sites (fractional):
La: 0.000 0.000 0.000 (multiplicity 2)
Y: 0.160 0.340 0.500 (multiplicity 4)
Pd: 0.130 0.630 0.000 (multiplicity 4)

Properties
Energy of formation from the pure elements ... -0.665 eV per atom
E_tot ... -63.06 eV per cell



Record 10
A plane-wave DFT calculation with PBE-GGA was carried out for a geometry-optimized LaZnPd structure.

Lattice parameters (Å, degrees): 4.5337 4.5337 7.6159 90.00 90.00 120.00
Space group P6_3mc (No. 186)
Symmetry-distinct sites (fractional):
La: 0.0000 0.0000 0.0000 (multiplicity 2)
Zn: 0.3333 0.6667 0.2496 (multiplicity 2)
Pd: 0.3333 0.6667 0.7512 (multiplicity 2)

Properties
Energy of formation from the pure elements ... -0.697 eV per atom
E_tot ... -26.91 eV per cell



Record 11
A plane-wave DFT calculation with PBE-GGA was carried out for a geometry-optimized LaZnPd structure.

Lattice parameters (Å, degrees): 4.5233 4.5233 7.6889 90.00 90.00 120.00
Space group P6_3/mmc (No. 194)
Symmetry-distinct sites (fractional):
La: 0.0000 0.0000 0.0000 (multiplicity 2)
Zn: 0.3333 0.6667 0.2500 (multiplicity 2)
Pd: 0.3333 0.6667 0.7500 (multiplicity 2)

Properties
Energy of formation from the pure elements ... -0.698 eV per atom
E_tot ... -26.91 eV per cell



Record 12
A plane-wave DFT calculation with PBE-GGA was carried out for a geometry-optimized LaZnPd structure.

Lattice parameters (Å, degrees): 5.0295 5.0295 6.0985 90.00 90.00 120.00
Space group P6_3/mmc (No. 194)
Symmetry-distinct sites (fractional):
La: 0.3333 0.6667 0.2500 (multiplicity 2)
Zn: 0.3333 0.6667 0.7500 (multiplicity 2)
Pd: 0.0000 0.0000 0.0000 (multiplicity 2)

Properties
Energy of formation from the pure elements ... -0.383 eV per atom
E_tot ... -25.02 eV per cell



> The highest E_tot belongs to which entry?

number 12